(1)
The following is a PBE calculation of a relaxed Sc2Al5Tc2Pd crystal, from Alexandria via LeMat-Bulk.

Results
Calculated density, g/cm3: 5.10
Crystal system: tetragonal
N(E_F), states/eV per atom: 0.78
Total energy, eV per atom: -6.096
Symmetry: P4/mbm, No. 127
M_tot, Bohr magnetons per cell: 0.0

```
Sc2Al5Tc2Pd
1.0
3.299 0.000 0.000
0.000 10.205 0.000
0.000 0.000 10.205
Sc Al Tc Pd
4 10 4 2
Cartesian
0.000 7.027 1.925
0.000 3.178 8.280
0.000 1.925 3.178
0.000 8.280 7.027
1.650 2.000 0.504
1.650 8.205 9.701
1.650 0.504 8.205
1.650 7.102 4.599
1.650 9.701 2.000
1.650 3.102 5.606
1.650 5.606 7.102
1.650 4.599 3.102
1.650 5.102 0.000
1.650 0.000 5.102
0.000 1.322 6.425
0.000 8.882 3.780
0.000 6.425 8.882
0.000 3.780 1.322
0.000 0.000 0.000
0.000 5.102 5.102
```

***

(2)
The following is a PBE calculation of a relaxed U5Ge crystal, from Alexandria via LeMat-Bulk.

Results
Calculated density, g/cm3: 17.31
Crystal system: orthorhombic
N(E_F), states/eV per atom: 2.63
Total energy, eV per atom: -10.152
Symmetry: Cmmm, No. 65
M_tot, Bohr magnetons per cell: 0.0

```
U5Ge
1.0
4.073 0.000 0.000
0.000 4.296 0.000
0.000 -2.148 6.925
Ge U
1 5
Cartesian
0.000 0.000 0.000
0.000 2.148 2.199
0.000 0.000 4.726
2.036 2.148 0.000
2.036 0.000 2.256
2.036 2.148 4.668
```

***

(3)
The following is a PBE calculation of a relaxed MoBr3 crystal, from Alexandria via LeMat-Bulk.

Results
Calculated density, g/cm3: 5.62
Formation energy without anion corrections, eV per atom: 0.841
Crystal system: orthorhombic
N(E_F), states/eV per atom: 1.19
Symmetry: Cmmm, No. 65
M_tot, Bohr magnetons per cell: 3.1

```
MoBr3
1.0
4.972 0.089 0.000
-0.146 4.971 0.000
0.000 0.000 4.009
Mo Br
1 3
Cartesian
0.000 0.000 0.000
-0.073 2.486 2.004
2.486 0.044 2.004
2.413 2.530 0.000
```

***

(4)
The following is a PBE calculation of a relaxed BaPr2O crystal, from Alexandria via LeMat-Bulk.

Results
Calculated density, g/cm3: 5.81
Formation energy without anion corrections, eV per atom: -1.115
Crystal system: trigonal
N(E_F), states/eV per atom: 0.71
Symmetry: R-3m, No. 166
M_tot, Bohr magnetons per cell: 0.0

```
BaPr2O
1.0
3.792 0.000 0.000
1.896 3.284 0.000
1.896 1.095 9.994
Pr Ba O
2 1 1
Cartesian
1.896 1.095 6.326
5.687 3.284 3.668
0.000 0.000 0.000
3.792 2.189 4.997
```